No. 1
DFT (PBE) results for a geometry-optimized PuZr2Nb structure.

The structure in extended XYZ format:
```
4
Lattice="-0.998 0.081 3.506 -2.254 -4.303 -0.542 4.125 -2.316 1.228" Properties=species:S:1:pos:R:3 pbc="T T T"
Nb -0.499 0.041 1.753
Zr 2.063 -1.158 0.614
Zr -1.127 -2.151 -0.271
Pu 0.436 -3.269 2.096
```

***

No. 2
DFT (PBE) results for a geometry-optimized PuZr2Nb structure.

The structure in extended XYZ format:
```
4
Lattice="-3.274 -0.070 1.077 -0.765 -2.277 -2.473 1.664 -5.656 4.693" Properties=species:S:1:pos:R:3 pbc="T T T"
Nb -2.019 -1.173 -0.698
Zr 1.299 -4.415 3.664
Zr 0.365 -1.241 1.030
Pu -1.187 -4.001 1.649
```

***

No. 3
DFT (PBE) results for a geometry-optimized PuZr14Nb structure.

The structure in extended XYZ format:
```
16
Lattice="5.914 1.893 0.000 0.267 6.204 0.000 0.000 0.000 10.084" Properties=species:S:1:pos:R:3 pbc="T T T"
Pu 2.228 4.707 0.000
Zr 2.513 4.490 5.042
Zr 4.918 2.654 5.042
Zr 5.291 5.368 0.000
Zr 5.473 5.796 5.042
Zr 2.398 1.578 0.000
Zr 2.033 1.290 5.042
Zr 3.889 6.528 7.524
Zr 3.889 6.528 2.560
Zr 0.909 2.624 7.524
Zr 0.909 2.624 2.560
Zr 0.871 5.743 7.445
Zr 0.871 5.743 2.639
Zr 3.918 3.417 7.858
Zr 3.918 3.417 2.225
Nb 5.423 2.268 0.000
```

***

No. 4
DFT (PBE) results for a geometry-optimized RbNb structure.

The structure in extended XYZ format:
```
16
Lattice="-9.598 -3.715 -3.533 1.185 -8.903 6.143 -4.988 5.034 8.257" Properties=species:S:1:pos:R:3 pbc="T T T"
Rb -2.900 -1.641 2.352
Rb -5.057 -3.835 10.520
Rb -11.173 -0.893 5.032
Rb -7.672 -8.798 3.833
Rb -9.601 -5.433 7.786
Rb -7.955 -3.759 1.553
Rb -3.288 -6.004 5.741
Rb -5.959 0.028 6.656
Nb -5.600 -3.169 4.542
Nb -6.225 -3.805 6.907
Nb -7.995 -2.953 5.318
Nb -6.982 -5.241 4.970
Nb -12.301 -6.961 9.976
Nb -9.122 -3.728 -2.060
Nb -0.110 -8.064 6.027
Nb -5.269 3.585 7.794
```

***

No. 5
DFT (PBE) results for a geometry-optimized Rb3Nb structure.

The structure in extended XYZ format:
```
4
Lattice="-1.451 6.587 -0.343 -3.553 -0.362 5.733 6.408 -2.123 -0.211" Properties=species:S:1:pos:R:3 pbc="T T T"
Nb 0.000 0.000 0.000
Rb 1.228 3.789 1.070
Rb 0.177 0.314 4.108
Rb -2.502 3.113 2.695
```

***

No. 6
DFT (PBE) results for a geometry-optimized RbNb structure.

The structure in extended XYZ format:
```
8
Lattice="-0.944 -0.409 -7.359 -2.902 -6.799 0.750 -6.775 2.969 0.704" Properties=species:S:1:pos:R:3 pbc="T T T"
Rb 0.000 0.000 0.000
Rb -4.838 -1.915 0.727
Rb -3.860 1.280 -3.327
Rb -1.923 -3.604 -3.304
Nb -5.311 -2.120 -2.952
Nb -0.472 -0.204 -3.679
Nb -1.451 -3.400 0.375
Nb -3.387 1.485 0.352
```

***

No. 7
DFT (PBE) results for a geometry-optimized RbNb structure.

The structure in extended XYZ format:
```
12
Lattice="3.169 0.000 0.000 0.000 7.008 0.000 0.000 0.000 19.516" Properties=species:S:1:pos:R:3 pbc="T T T"
Rb 1.585 0.000 3.807
Rb 1.585 0.000 15.710
Rb 0.000 3.504 13.565
Rb 0.000 3.504 5.951
Rb 0.000 0.000 0.000
Rb 1.585 3.504 9.758
Nb 1.585 0.000 7.693
Nb 1.585 0.000 11.823
Nb 0.000 3.504 17.451
Nb 0.000 3.504 2.065
Nb 1.585 3.504 0.000
Nb 0.000 0.000 9.758
```

***

no.,magnetization (μB/atom),ΔE_f (eV/atom)
1,1.4688,0.184
2,1.4779,0.133
3,0.3210,0.066
4,0.0000,1.282
5,1.3987,1.162
6,2.5013,2.640
7,0.0619,1.154